[1]
Ce3H3Pb (PBE-GGA, relaxed); E_tot = -34.740 eV per formula unit; volume = 268.4 Å³/cell
1.0
-1.6082 1.6967 -6.0118
-6.1966 -1.2179 1.3139
-0.7895 6.1029 1.9336
Pb Ce H
2 6 6
direct
0.0000 0.0000 0.0000
0.5000 0.5000 0.5000
0.0000 0.2500 0.5000
0.5000 0.0000 0.2500
0.0000 0.7500 0.5000
0.2500 0.5000 0.0000
0.5000 0.0000 0.7500
0.7500 0.5000 0.0000
0.2500 0.0000 0.5000
0.5000 0.2500 0.0000
0.0000 0.5000 0.7500
0.0000 0.5000 0.2500
0.7500 0.0000 0.5000
0.5000 0.7500 0.0000

[2]
RbSn5Au3 (PBE-GGA, relaxed); formation energy from the elements = -16 kJ/mol of atoms; E_tot = -32.289 eV per formula unit; volume = 513.0 Å³/cell
1.0
-3.5447 2.7675 0.1291
0.1618 -3.1055 -7.3727
-8.5970 -11.2230 4.5387
Sn Au Rb
10 6 2
direct
0.0000 0.0000 0.0000
0.8050 0.6100 0.0744
0.4648 0.9297 0.3532
0.5352 0.0703 0.6468
0.1950 0.3900 0.5744
0.8050 0.6100 0.4256
0.4648 0.9297 0.1468
0.5352 0.0703 0.8532
0.0000 0.0000 0.5000
0.1950 0.3900 0.9256
0.6275 0.2550 0.0334
0.3725 0.7450 0.9666
0.1228 0.2456 0.7500
0.8772 0.7544 0.2500
0.3725 0.7450 0.5334
0.6275 0.2550 0.4666
0.1662 0.3324 0.2500
0.8338 0.6676 0.7500

[3]
CaLaTh (PBE-GGA, relaxed); formation energy from the elements = 10 kJ/mol of atoms; E_tot = -14.040 eV per formula unit; volume = 219.0 Å³/cell
1.0
-2.9722 0.1808 2.0817
0.2120 -0.7835 3.5413
2.8868 18.1793 5.7130
Ca La Th
2 2 2
direct
0.3055 0.3055 0.0835
0.6945 0.6945 0.9165
0.2437 0.2437 0.2690
0.7563 0.7563 0.7310
0.8586 0.8586 0.4242
0.1414 0.1414 0.5758